Ba2CoRu, optimized geometry, DFT PBE-GGA; energy above the lowest structure with this stoichiometry = 398 meV per atom; M_tot = 0.00 μB/atom
1.0
-5.843 5.843 2.234
5.843 -5.843 2.234
5.843 5.843 -2.234
Ba Co Ru
4 2 2
direct
0.375 0.179 0.304
0.821 0.125 0.196
0.875 0.071 0.696
0.929 0.625 0.804
0.250 0.750 0.500
0.500 0.500 0.000
0.000 0.000 0.000
0.750 0.250 0.500